[1]
## Tm2TeI3 (PBE)

Data for a relaxed structure of Tm2TeI3.

- D(E_F): 4.25 states/eV/f.u.
- Calculated total energy: -3.985 eV per atom

```
data_Tm2TeI3
_chemical_formula_sum 'Tm8 Te4 I12'
_symmetry_space_group_name_H-M 'C 1 2/m 1'
_symmetry_Int_Tables_number 12
_symmetry_space_group_name_Hall '-C 2y'
_cell_length_a 21.699
_cell_length_b 4.182
_cell_length_c 15.016
_cell_angle_alpha 90.00
_cell_angle_beta 133.45
_cell_angle_gamma 90.00
loop_
_atom_site_label
_atom_site_type_symbol
_atom_site_fract_x
_atom_site_fract_y
_atom_site_fract_z
_atom_site_occupancy
Tm1 Tm 0.085 0.000 0.451 1
Tm2 Tm 0.138 0.500 0.846 1
Te1 Te 0.098 0.000 0.672 1
I1 I 0.043 0.500 0.261 1
I2 I 0.177 0.000 0.031 1
I3 I 0.223 0.500 0.607 1
```

[2]
## ZrReP2 (PBE)

Data for a relaxed structure of ZrReP2.

- D(E_F): 0.94 states/eV/f.u.
- Calculated total energy: -7.815 eV per atom
- E_form: 3.2 kcal/mol of atoms
- Energy relative to the lowest polymorph listed for this composition: 870 meV per atom

```
data_ZrReP2
_chemical_formula_sum 'Zr4 Re4 P8'
_symmetry_space_group_name_H-M 'F -4 3 m'
_symmetry_Int_Tables_number 216
_symmetry_space_group_name_Hall 'F -4 2 3'
_cell_length_a 6.336
_cell_length_b 6.336
_cell_length_c 6.336
_cell_angle_alpha 90.00
_cell_angle_beta 90.00
_cell_angle_gamma 90.00
loop_
_atom_site_label
_atom_site_type_symbol
_atom_site_fract_x
_atom_site_fract_y
_atom_site_fract_z
_atom_site_occupancy
Zr1 Zr 0.000 0.000 0.000 1
Re1 Re 0.250 0.250 0.750 1
P1 P 0.000 0.000 0.500 1
P2 P 0.250 0.250 0.250 1
```

[3]
## Ba3CuRu (PBE)

Data for a relaxed structure of Ba3CuRu.

- D(E_F): 6.03 states/eV/f.u.
- Calculated total energy: -3.447 eV per atom
- E_form: 8.8 kcal/mol of atoms
- Energy relative to the lowest polymorph listed for this composition: 0 meV per atom

```
data_Ba3CuRu
_chemical_formula_sum 'Ba3 Cu1 Ru1'
_symmetry_space_group_name_H-M 'P m -3 m'
_symmetry_Int_Tables_number 221
_symmetry_space_group_name_Hall '-P 4 2 3'
_cell_length_a 5.879
_cell_length_b 5.879
_cell_length_c 5.879
_cell_angle_alpha 90.00
_cell_angle_beta 90.00
_cell_angle_gamma 90.00
loop_
_atom_site_label
_atom_site_type_symbol
_atom_site_fract_x
_atom_site_fract_y
_atom_site_fract_z
_atom_site_occupancy
Ba1 Ba 0.000 0.000 0.500 1
Cu1 Cu 0.500 0.500 0.500 1
Ru1 Ru 0.000 0.000 0.000 1
```

Please write out number 3 again, unchanged.
## Ba3CuRu (PBE)

Data for a relaxed structure of Ba3CuRu.

- D(E_F): 6.03 states/eV/f.u.
- Calculated total energy: -3.447 eV per atom
- E_form: 8.8 kcal/mol of atoms
- Energy relative to the lowest polymorph listed for this composition: 0 meV per atom

```
data_Ba3CuRu
_chemical_formula_sum 'Ba3 Cu1 Ru1'
_symmetry_space_group_name_H-M 'P m -3 m'
_symmetry_Int_Tables_number 221
_symmetry_space_group_name_Hall '-P 4 2 3'
_cell_length_a 5.879
_cell_length_b 5.879
_cell_length_c 5.879
_cell_angle_alpha 90.00
_cell_angle_beta 90.00
_cell_angle_gamma 90.00
loop_
_atom_site_label
_atom_site_type_symbol
_atom_site_fract_x
_atom_site_fract_y
_atom_site_fract_z
_atom_site_occupancy
Ba1 Ba 0.000 0.000 0.500 1
Cu1 Cu 0.500 0.500 0.500 1
Ru1 Ru 0.000 0.000 0.000 1
```

> What is the formula in the second record?

ZrReP2

> Among the records above, which one has the lowest D(E_F)?

ZrReP2